# 1
V3Ni2Rh3 | PBE-GGA | optimized geometry

Values from the calculation:
As for the energy relative to the lowest polymorph listed for this composition: 0.000 eV per atom. As for the formation energy from the elements: -299 meV/atom.

Geometry as CIF:
```
data_V3Ni2Rh3
_symmetry_space_group_name_H-M 'P m m m'
_symmetry_Int_Tables_number 47
_symmetry_space_group_name_Hall '-P 2 2'
_cell_length_a 3.7761
_cell_length_b 3.7835
_cell_length_c 7.2639
_cell_angle_alpha 90.00
_cell_angle_beta 90.00
_cell_angle_gamma 90.00
loop_
_atom_site_label
_atom_site_type_symbol
_atom_site_fract_x
_atom_site_fract_y
_atom_site_fract_z
V1 V 0.0000 0.0000 0.0000
V2 V 0.5000 0.0000 0.2518
Ni1 Ni 0.0000 0.5000 0.2503
Rh1 Rh 0.0000 0.0000 0.5000
Rh2 Rh 0.5000 0.5000 0.0000
Rh3 Rh 0.5000 0.5000 0.5000
```

=====

# 2
CrTc3 | PBE-GGA | optimized geometry

Values from the calculation:
As for the formation energy from the elements: 167 meV/atom.

Geometry as CIF:
```
data_CrTc3
_symmetry_space_group_name_H-M 'R -3 m'
_symmetry_Int_Tables_number 166
_symmetry_space_group_name_Hall '-R 3 2"'
_cell_length_a 2.7215
_cell_length_b 2.7215
_cell_length_c 26.2564
_cell_angle_alpha 90.00
_cell_angle_beta 90.00
_cell_angle_gamma 120.00
loop_
_atom_site_label
_atom_site_type_symbol
_atom_site_fract_x
_atom_site_fract_y
_atom_site_fract_z
Cr1 Cr 0.0000 0.0000 0.0000
Tc1 Tc 0.0000 0.0000 0.2529
Tc2 Tc 0.0000 0.0000 0.5000
```